Entry 1:
# PBE HgAsOs, optimized geometry
# Total magnetic moment: 0.000 Bohr magnetons per cell
# E_form: 360 meV/atom
# Volume: 19.6 Å³/atom
# Polymorph energy (0 for the lowest one): 0.043 eV/atom
data_HgAsOs
_chemical_formula_sum 'Hg2 As2 Os2'
_symmetry_space_group_name_H-M 'I 4 m m'
_symmetry_Int_Tables_number 107
_symmetry_space_group_name_Hall 'I 4 -2'
_cell_length_a 3.026
_cell_length_b 3.026
_cell_length_c 12.817
_cell_angle_alpha 90.00
_cell_angle_beta 90.00
_cell_angle_gamma 90.00
loop_
_atom_site_label
_atom_site_fract_x
_atom_site_fract_y
_atom_site_fract_z
_atom_site_occupancy
Hg1 0.000 0.000 0.000 1
As1 0.000 0.000 0.733 1
Os1 0.000 0.000 0.340 1

=====

Entry 2:
# PBE Sc2Ga2B, optimized geometry
# Total magnetic moment: 0.000 Bohr magnetons per cell
# E_form: -6 meV/atom
# Volume: 18.7 Å³/atom
# Polymorph energy (0 for the lowest one): 0.000 eV/atom
data_Sc2Ga2B
_chemical_formula_sum 'Sc4 Ga4 B2'
_symmetry_space_group_name_H-M 'P 4/m b m'
_symmetry_Int_Tables_number 127
_symmetry_space_group_name_Hall '-P 4 2ab'
_cell_length_a 6.439
_cell_length_b 6.439
_cell_length_c 4.509
_cell_angle_alpha 90.00
_cell_angle_beta 90.00
_cell_angle_gamma 90.00
loop_
_atom_site_label
_atom_site_fract_x
_atom_site_fract_y
_atom_site_fract_z
_atom_site_occupancy
Sc1 0.168 0.332 0.000 1
Ga1 0.145 0.645 0.500 1
B1 0.000 0.000 0.000 1